Entry 1:
DFT (meta-GGA SCAN) results for MnPb2Br at its PBEsol-relaxed geometry.

Output
The uncorrected formation energy is -0.03 eV/atom.

Cell: 5.486 5.486 3.286 Å, 90.00 90.00 90.00°
Element x y z (fractional)
Mn 0.000 0.000 0.000
Pb 0.000 0.500 0.500
Pb 0.500 0.000 0.500
Br 0.500 0.500 0.000

=====

Entry 2:
DFT (meta-GGA SCAN) results for CdRu2W at its PBEsol-relaxed geometry.

Output
Its calculated formation energy is 2.2 eV per formula unit.

Cell: 3.317 3.317 5.756 Å, 90.00 90.00 90.00°
Element x y z (fractional)
Cd 0.000 0.000 0.000
Ru 0.000 0.000 0.510
Ru 0.500 0.500 0.257
W 0.500 0.500 0.686

=====

Entry 3:
DFT (meta-GGA SCAN) results for CaGeSeN2 at its PBEsol-relaxed geometry.

Output
The uncorrected formation energy is 1.14 eV/atom. The value obtained for the polymorph energy (0 for the lowest one) is 932 meV/atom.

Cell: 4.383 4.383 5.595 Å, 90.00 90.00 90.00°
Element x y z (fractional)
Ca 0.000 0.000 0.000
Ge 0.500 0.500 0.500
Se 0.000 0.000 0.500
N 0.000 0.500 0.000
N 0.500 0.000 0.000

=====

no.,uncorrected energy (eV/atom)
1,-47.346
2,-41.893
3,-12.346